(1)
Below is crystalline TiTeWN2 at its relaxed geometry, with properties calculated at the GGA-PBE level.

It has space group P4/mmm (No. 123), with a = 3.946 Å, b = 3.946 Å, c = 5.600 Å, α = 90.00°, β = 90.00° and γ = 90.00°. Symmetry generates all atoms from Ti at (0.000, 0.000, 0.000), Te at (0.500, 0.500, 0.000), W at (0.500, 0.500, 0.500) and N at (0.000, 0.500, 0.500).

The total energy comes out at -7.693 eV/atom. The value obtained for the density of states at the Fermi level is 1.0211 states/eV/atom. The value obtained for the uncorrected formation energy is 0.4351 eV per atom. The energy relative to the lowest polymorph listed for this composition comes out at 0.000 eV per atom.

(2)
Below is crystalline TiTeWN2 at its relaxed geometry, with properties calculated at the GGA-PBE level.

It has space group P4/mmm (No. 123), with a = 3.947 Å, b = 3.947 Å, c = 5.649 Å, α = 90.00°, β = 90.00° and γ = 90.00°. Symmetry generates all atoms from Ti at (0.000, 0.000, 0.000), Te at (0.000, 0.000, 0.500), W at (0.500, 0.500, 0.500) and N at (0.000, 0.500, 0.000).

The total energy comes out at -7.054 eV/atom. The value obtained for the density of states at the Fermi level is 0.8881 states/eV/atom. The value obtained for the uncorrected formation energy is 1.0736 eV per atom. The energy relative to the lowest polymorph listed for this composition comes out at 0.639 eV per atom.